[1]
Mg2OsSe PBE optimized geometry; energy relative to the elements, uncorrected = 0.240 eV/atom; SG = Pmm2 (25); V = 17.75 Å³/atom; total magnetization = 1.083 μB/f.u.; raw total energy = -4.24 eV/atom
1.0
-3.0342 1.3010 -0.3039
-1.5216 -3.3317 0.9294
0.0889 1.4849 5.4689
Mg Se Os
2 1 1
direct
0.0000 0.0000 0.9857 Mg
0.5000 0.5000 0.2808 Mg
0.5000 0.5000 0.7590 Se
0.0000 0.0000 0.4745 Os


[2]
Mg2OsSe PBE optimized geometry; energy relative to the elements, uncorrected = -0.035 eV/atom; SG = Pm (6); V = 17.83 Å³/atom; total magnetization = 0.000 μB/f.u.; raw total energy = -4.51 eV/atom
1.0
4.1791 0.0000 0.0000
0.0000 3.3525 0.0070
0.0000 1.6747 5.0927
Os Mg Se
1 2 1
direct
0.0000 0.6912 0.4929 Os
0.0000 0.9640 0.9474 Mg
0.5000 0.2859 0.3038 Mg
0.5000 0.5590 0.7559 Se


[3]
MgTlOsSe2 PBE optimized geometry; energy relative to the elements, uncorrected = 0.450 eV/atom; SG = P4/mmm (123); V = 26.16 Å³/atom; total magnetization = 0.316 μB/f.u.; raw total energy = -3.98 eV/atom
1.0
4.8968 0.0000 0.0000
0.0000 5.4554 0.0000
0.0000 0.0000 4.8968
Tl Se Os Mg
1 2 1 1
direct
0.0000 0.5000 0.0000 Tl
0.0000 0.0000 0.5000 Se
0.5000 0.0000 0.0000 Se
0.0000 0.0000 0.0000 Os
0.5000 0.5000 0.5000 Mg


[4]
Mg2SiOs PBE optimized geometry; energy relative to the elements, uncorrected = 0.055 eV/atom; SG = F-43m (216); V = 15.03 Å³/atom; total magnetization = 0.000 μB/f.u.; raw total energy = -4.91 eV/atom
1.0
-2.3047 -2.6427 -2.6528
1.7135 -3.8286 -1.3185
-1.6277 -3.7834 1.5392
Os Si Mg
1 1 2
direct
0.5000 0.5000 0.5000 Os
0.7500 0.7500 0.7500 Si
0.2500 0.2500 0.2500 Mg
0.0000 0.0000 0.0000 Mg


[5]
Mg2SiOs PBE optimized geometry; energy relative to the elements, uncorrected = 0.020 eV/atom; SG = I-4m2 (119); V = 15.26 Å³/atom; total magnetization = 0.000 μB/f.u.; raw total energy = -4.94 eV/atom
1.0
-0.6989 3.9960 -2.4629
-4.1775 -0.4633 -2.2037
1.1325 -0.6180 4.5671
Mg Os Si
2 1 1
direct
0.2500 0.7500 0.5000 Mg
0.0000 0.0000 0.0000 Mg
0.5000 0.5000 0.0000 Os
0.7500 0.2500 0.5000 Si


[6]
Mg2SiOs PBE optimized geometry; energy relative to the elements, uncorrected = -0.073 eV/atom; SG = Cm (8); V = 15.90 Å³/atom; total magnetization = 0.000 μB/f.u.; raw total energy = -5.03 eV/atom
1.0
4.7810 -0.0021 0.0127
3.6754 3.0577 0.0127
1.6145 0.5834 4.3537
Os Mg Si
1 2 1
direct
0.5202 0.5202 0.4279 Os
0.9885 0.9885 0.9812 Mg
0.7582 0.7582 0.7612 Mg
0.2331 0.2331 0.3296 Si


[7]
Mg2SiOs PBE optimized geometry; energy relative to the elements, uncorrected = -0.060 eV/atom; SG = Amm2 (38); V = 17.14 Å³/atom; total magnetization = 0.000 μB/f.u.; raw total energy = -5.02 eV/atom
1.0
4.0594 0.0000 0.0000
0.0000 3.2645 -0.0017
0.0000 1.6386 5.1727
Os Mg Si
1 2 1
direct
0.0000 0.6818 0.5123 Os
0.5000 0.2911 0.2931 Mg
0.0000 0.9577 0.9600 Mg
0.5000 0.5695 0.7347 Si


[8]
MgSi2Os2 PBE optimized geometry; energy relative to the elements, uncorrected = -0.233 eV/atom; SG = P4/mbm (127); V = 14.54 Å³/atom; total magnetization = 0.000 μB/f.u.; raw total energy = -7.21 eV/atom
1.0
7.0927 0.0000 0.0000
0.0000 7.0927 0.0000
0.0000 0.0000 2.8897
Si Os Mg
4 4 2
direct
0.3506 0.1494 0.5000 Si
0.8506 0.3506 0.5000 Si
0.1494 0.6494 0.5000 Si
0.6494 0.8506 0.5000 Si
0.6464 0.1464 0.0000 Os
0.1464 0.3536 0.0000 Os
0.8536 0.6464 0.0000 Os
0.3536 0.8536 0.0000 Os
0.5000 0.5000 0.0000 Mg
0.0000 0.0000 0.0000 Mg